The following is a DFT calculation (PBE) of a geometry-optimized Tl3InAg structure.

Its distance to the lowest polymorph of the same formula is 0.0 kJ per mole of atoms. Its formation energy is 0.255 eV per atom.

It has space group Pm-3m (No. 221), with a = 5.512 Å, b = 5.512 Å, c = 5.512 Å, α = 90.00°, β = 90.00° and γ = 90.00°. The distinct sites, in fractional coordinates, are Tl at (0.000, 0.000, 0.500), In at (0.500, 0.500, 0.500) and Ag at (0.000, 0.000, 0.000).



The following is a DFT calculation (PBE) of a geometry-optimized Y2ErScS4 structure.

The total energy comes out at -6.984 eV/atom.

It has space group P2/m (No. 10), with a = 6.667 Å, b = 3.824 Å, c = 6.715 Å, α = 90.00°, β = 109.13° and γ = 90.00°. The distinct sites, in fractional coordinates, are Y at (0.000, 0.000, 0.000), Y at (0.500, 0.500, 0.000), Er at (0.000, 0.500, 0.500), Sc at (0.500, 0.000, 0.500), S at (0.252, 0.000, 0.741) and S at (0.260, 0.500, 0.263).



The following is a DFT calculation (PBE) of a geometry-optimized RbCdInSn structure.

Its formation energy is 0.026 eV per atom.

It has space group F-43m (No. 216), with a = 7.913 Å, b = 7.913 Å, c = 7.913 Å, α = 90.00°, β = 90.00° and γ = 90.00°. The distinct sites, in fractional coordinates, are Rb at (0.000, 0.000, 0.000), Cd at (0.250, 0.250, 0.250), In at (0.250, 0.250, 0.750) and Sn at (0.000, 0.000, 0.500).



The following is a DFT calculation (PBE) of a geometry-optimized Ho12In5Ag2 structure.

Its formation energy is -0.186 eV per atom.

It has space group C2/m (No. 12), with a = 13.092 Å, b = 9.475 Å, c = 8.529 Å, α = 90.00°, β = 90.89° and γ = 90.00°. The distinct sites, in fractional coordinates, are Ho at (0.074, 0.000, 0.239), Ho at (0.100, 0.500, 0.627), Ho at (0.108, 0.201, 0.886), Ho at (0.149, 0.321, 0.274), In at (0.000, 0.500, 0.000), In at (0.165, 0.000, 0.578), In at (0.229, 0.500, 0.948) and Ag at (0.000, 0.216, 0.500).



The following is a DFT calculation (PBE) of a geometry-optimized ZnTcC2 structure.

Its formation energy is 0.784 eV per atom.

It has space group I-42d (No. 122), with a = 4.712 Å, b = 4.712 Å, c = 9.246 Å, α = 90.00°, β = 90.00° and γ = 90.00°. The distinct sites, in fractional coordinates, are Zn at (0.000, 0.000, 0.000), Tc at (0.000, 0.000, 0.500) and C at (0.218, 0.250, 0.625).



The following is a DFT calculation (PBE) of a geometry-optimized YScSn2 structure.

Its distance to the lowest polymorph of the same formula is 9.6 kJ per mole of atoms. Its formation energy is -0.546 eV per atom.

It has space group P4/mmm (No. 123), with a = 3.886 Å, b = 3.886 Å, c = 6.666 Å, α = 90.00°, β = 90.00° and γ = 90.00°. The distinct sites, in fractional coordinates, are Y at (0.000, 0.000, 0.000), Sc at (0.000, 0.000, 0.500) and Sn at (0.500, 0.500, 0.272).



The following is a DFT calculation (PBE) of a geometry-optimized Ce4GaPt structure.

Its distance to the lowest polymorph of the same formula is 3.0 kJ per mole of atoms. Its formation energy is -0.444 eV per atom.

It has space group Cmcm (No. 63), with a = 5.284 Å, b = 20.176 Å, c = 6.189 Å, α = 90.00°, β = 90.00° and γ = 90.00°. The distinct sites, in fractional coordinates, are Ce at (0.000, 0.058, 0.250), Ce at (0.000, 0.215, 0.030), Ce at (0.000, 0.399, 0.250), Ga at (0.000, 0.347, 0.750) and Pt at (0.000, 0.086, 0.750).



The following is a DFT calculation (PBE) of a geometry-optimized Mg6HIr3 structure.

Its distance to the lowest polymorph of the same formula is 2.0 kJ per mole of atoms.

It has space group P1 (No. 1), with a = 5.417 Å, b = 5.419 Å, c = 7.023 Å, α = 72.81°, β = 72.79° and γ = 72.53°. The distinct sites, in fractional coordinates, are Mg at (0.000, 0.000, 0.000), Mg at (0.147, 0.162, 0.338), Mg at (0.336, 0.330, 0.674), Mg at (0.484, 0.514, 0.999), Mg at (0.646, 0.665, 0.339), Mg at (0.819, 0.848, 0.676), H at (0.583, 0.098, 0.187), Ir at (0.143, 0.658, 0.350), Ir at (0.494, 0.008, 0.013) and Ir at (0.837, 0.350, 0.661).



| no. | volume (Å³ per atom) |
| --- | --- |
| 1 | 33.49 |
| 2 | 20.22 |
| 3 | 30.96 |
| 4 | 27.84 |
| 5 | 12.83 |
| 6 | 25.17 |
| 7 | 27.49 |
| 8 | 18.29 |